Entry 1:
This record from the Alexandria database describes a relaxed PmSb2S4 crystal. The functional is PBE-GGA.

CIF file:
```
data_PmSb2S4
_chemical_formula_sum 'Pm4 Sb8 S16'
_cell_length_a 4.182
_cell_length_b 12.717
_cell_length_c 12.948
_cell_angle_alpha 90.00
_cell_angle_beta 90.00
_cell_angle_gamma 90.00
_space_group_name_H-M_alt 'C m c m'
_space_group_IT_number 63
_space_group_name_Hall '-C 2c 2'
loop_
_atom_site_label
_atom_site_type_symbol
_atom_site_fract_x
_atom_site_fract_y
_atom_site_fract_z
Pm1 Pm 0.000 0.122 0.250
Sb1 Sb 0.000 0.376 0.060
S1 S 0.000 0.000 0.000
S2 S 0.000 0.275 0.621
S3 S 0.000 0.476 0.250
```

Results
VASP energy: -4.96 eV/atom
density of states at the Fermi level: 4.18 states/eV/cell

Entry 2:
This record from the Alexandria database describes a relaxed Pm5Sb2S4 crystal. The functional is PBE-GGA.

CIF file:
```
data_Pm5Sb2S4
_chemical_formula_sum 'Pm15 Sb6 S12'
_cell_length_a 4.5571
_cell_length_b 4.5571
_cell_length_c 56.2266
_cell_angle_alpha 90.00
_cell_angle_beta 90.00
_cell_angle_gamma 120.00
_space_group_name_H-M_alt 'R -3 m'
_space_group_IT_number 166
_space_group_name_Hall '-R 3 2"'
loop_
_atom_site_label
_atom_site_type_symbol
_atom_site_fract_x
_atom_site_fract_y
_atom_site_fract_z
Pm1 Pm 0.0000 0.0000 0.0000
Pm2 Pm 0.0000 0.0000 0.1362
Pm3 Pm 0.0000 0.0000 0.2687
Sb1 Sb 0.0000 0.0000 0.3657
S1 S 0.0000 0.0000 0.0877
S2 S 0.0000 0.0000 0.1890
```

Results
VASP energy: -6.01 eV/atom
density of states at the Fermi level: 9.90 states/eV/cell

Entry 3:
This record from the Alexandria database describes a relaxed Pm4Sb3S crystal. The functional is PBE-GGA.

CIF file:
```
data_Pm4Sb3S
_chemical_formula_sum 'Pm8 Sb6 S2'
_cell_length_a 8.785
_cell_length_b 12.414
_cell_length_c 4.394
_cell_angle_alpha 90.00
_cell_angle_beta 90.00
_cell_angle_gamma 90.00
_space_group_name_H-M_alt 'C m m m'
_space_group_IT_number 65
_space_group_name_Hall '-C 2 2'
loop_
_atom_site_label
_atom_site_type_symbol
_atom_site_fract_x
_atom_site_fract_y
_atom_site_fract_z
Pm1 Pm 0.000 0.244 0.000
Pm2 Pm 0.239 0.000 0.500
Sb1 Sb 0.000 0.500 0.000
Sb2 Sb 0.250 0.250 0.500
S1 S 0.000 0.000 0.000
```

Results
VASP energy: -5.80 eV/atom
density of states at the Fermi level: 3.44 states/eV/cell

Entry 4:
This record from the Alexandria database describes a relaxed Pm3SbS crystal. The functional is PBE-GGA.

CIF file:
```
data_Pm3SbS
_chemical_formula_sum 'Pm3 Sb1 S1'
_cell_length_a 5.306
_cell_length_b 5.306
_cell_length_c 5.306
_cell_angle_alpha 90.00
_cell_angle_beta 90.00
_cell_angle_gamma 90.00
_space_group_name_H-M_alt 'P m -3 m'
_space_group_IT_number 221
_space_group_name_Hall '-P 4 2 3'
loop_
_atom_site_label
_atom_site_type_symbol
_atom_site_fract_x
_atom_site_fract_y
_atom_site_fract_z
Pm1 Pm 0.000 0.000 0.500
Sb1 Sb 0.500 0.500 0.500
S1 S 0.000 0.000 0.000
```

Results
energy relative to the lowest polymorph listed for this composition: 1.126 eV per formula unit
density of states at the Fermi level: 5.69 states/eV/cell

What is the density of states at the Fermi level in the second record?
9.90 states/eV/cell